1.
Tb5Sm2TmTh | the Alexandria database | GGA-PBE | optimized geometry; volume = 301.1 Å³/f.u.; space group = Cmc2_1 (36); magnetic moment = 0.0 Bohr magnetons per cell; mass density = 8.3 Mg/m³; energy of formation from the pure elements = 0.1606 eV per atom
1.0
-5.242 -1.965 -1.178
5.523 -8.822 4.030
-2.896 2.311 9.027
Tb Sm Tm Th
10 4 2 2
Direct
0.397 0.794 0.042
0.730 0.460 0.827
0.470 0.940 0.743
0.305 0.610 0.717
0.985 0.971 0.515
0.603 0.206 0.542
0.270 0.540 0.327
0.530 0.060 0.243
0.695 0.390 0.217
0.015 0.029 0.015
0.885 0.771 0.826
0.130 0.260 0.710
0.115 0.229 0.326
0.870 0.740 0.210
0.810 0.620 0.516
0.190 0.380 0.016
0.596 0.193 0.925
0.404 0.807 0.425



2.
Tb6SmY3Th2 | the Alexandria database | GGA-PBE | optimized geometry; volume = 387.6 Å³/f.u.; space group = C2/m (12); magnetic moment = 0.0 Bohr magnetons per cell; mass density = 7.9 Mg/m³; energy of formation from the pure elements = 0.0295 eV per atom
1.0
-1.531 0.962 -5.925
5.383 -2.728 1.400
-6.478 -9.838 1.158
Tb Sm Y Th
6 1 3 2
Direct
0.917 0.579 0.752
0.745 0.745 0.248
0.083 0.421 0.248
0.579 0.917 0.752
0.255 0.255 0.752
0.421 0.083 0.248
0.000 0.000 0.000
0.166 0.834 0.500
0.834 0.166 0.500
0.500 0.500 0.500
0.333 0.667 0.000
0.667 0.333 0.000



3.
Tb6Sm2Y3Th | the Alexandria database | GGA-PBE | optimized geometry; volume = 388.6 Å³/f.u.; space group = C2/m (12); magnetic moment = 0.0 Bohr magnetons per cell; mass density = 7.5 Mg/m³; energy of formation from the pure elements = 0.0275 eV per atom
1.0
-4.933 3.617 0.998
-0.777 -6.033 -1.185
2.505 -1.520 11.489
Tb Sm Y Th
6 2 3 1
Direct
0.916 0.586 0.750
0.754 0.754 0.250
0.084 0.414 0.250
0.586 0.916 0.750
0.246 0.246 0.750
0.414 0.084 0.250
0.333 0.667 0.000
0.667 0.333 0.000
0.167 0.833 0.500
0.833 0.167 0.500
0.500 0.500 0.500
0.000 0.000 0.000



4.
Tb2SmY6Th | the Alexandria database | GGA-PBE | optimized geometry; volume = 329.0 Å³/f.u.; space group = C2/c (15); magnetic moment = 0.0 Bohr magnetons per cell; mass density = 6.2 Mg/m³; energy of formation from the pure elements = 0.1500 eV per atom
1.0
-6.080 7.402 0.766
-6.270 -6.060 1.064
4.567 2.209 7.171
Tb Sm Y Th
4 2 12 2
Direct
0.448 0.803 0.708
0.052 0.292 0.197
0.552 0.197 0.292
0.948 0.708 0.803
0.250 0.407 0.593
0.750 0.593 0.407
0.058 0.115 0.757
0.442 0.243 0.885
0.942 0.885 0.243
0.558 0.757 0.115
0.318 0.982 0.427
0.182 0.573 0.018
0.682 0.018 0.573
0.818 0.427 0.982
0.115 0.704 0.485
0.385 0.515 0.296
0.885 0.296 0.515
0.615 0.485 0.704
0.250 0.971 0.029
0.750 0.029 0.971



5.
TbSm2Y6Th3 | the Alexandria database | GGA-PBE | optimized geometry; volume = 388.7 Å³/f.u.; space group = C2/m (12); magnetic moment = 0.0 Bohr magnetons per cell; mass density = 7.2 Mg/m³; energy of formation from the pure elements = 0.0210 eV per atom
1.0
-4.830 -3.399 1.951
5.747 -1.351 1.959
-1.699 8.746 7.714
Tb Sm Y Th
1 2 6 3
Direct
0.000 0.000 0.000
0.333 0.667 0.000
0.667 0.333 0.000
0.915 0.582 0.745
0.752 0.752 0.255
0.085 0.418 0.255
0.582 0.915 0.745
0.248 0.248 0.745
0.418 0.085 0.255
0.167 0.833 0.500
0.833 0.167 0.500
0.500 0.500 0.500



6.
TbSm6Y2Th | the Alexandria database | GGA-PBE | optimized geometry; volume = 336.1 Å³/f.u.; space group = C2/c (15); magnetic moment = 0.0 Bohr magnetons per cell; mass density = 7.3 Mg/m³; energy of formation from the pure elements = 0.1497 eV per atom
1.0
-8.530 -0.354 4.108
-3.215 -2.399 -7.918
3.167 -6.639 4.967
Tb Sm Y Th
2 12 4 2
Direct
0.250 0.409 0.591
0.750 0.591 0.409
0.062 0.111 0.765
0.438 0.235 0.889
0.938 0.889 0.235
0.562 0.765 0.111
0.311 0.991 0.428
0.189 0.572 0.009
0.689 0.009 0.572
0.811 0.428 0.991
0.114 0.705 0.477
0.386 0.523 0.295
0.886 0.295 0.523
0.614 0.477 0.705
0.445 0.797 0.704
0.055 0.296 0.203
0.555 0.203 0.296
0.945 0.704 0.797
0.250 0.964 0.036
0.750 0.036 0.964



> Which of these has the lowest mass density?

Tb2SmY6Th



> Number 2 is which compound?

Tb6SmY3Th2



What did the second record say?
Tb6SmY3Th2 | the Alexandria database | GGA-PBE | optimized geometry; volume = 387.6 Å³/f.u.; space group = C2/m (12); magnetic moment = 0.0 Bohr magnetons per cell; mass density = 7.9 Mg/m³; energy of formation from the pure elements = 0.0295 eV per atom
1.0
-1.531 0.962 -5.925
5.383 -2.728 1.400
-6.478 -9.838 1.158
Tb Sm Y Th
6 1 3 2
Direct
0.917 0.579 0.752
0.745 0.745 0.248
0.083 0.421 0.248
0.579 0.917 0.752
0.255 0.255 0.752
0.421 0.083 0.248
0.000 0.000 0.000
0.166 0.834 0.500
0.834 0.166 0.500
0.500 0.500 0.500
0.333 0.667 0.000
0.667 0.333 0.000



Please write out number 6 again, unchanged.
TbSm6Y2Th | the Alexandria database | GGA-PBE | optimized geometry; volume = 336.1 Å³/f.u.; space group = C2/c (15); magnetic moment = 0.0 Bohr magnetons per cell; mass density = 7.3 Mg/m³; energy of formation from the pure elements = 0.1497 eV per atom
1.0
-8.530 -0.354 4.108
-3.215 -2.399 -7.918
3.167 -6.639 4.967
Tb Sm Y Th
2 12 4 2
Direct
0.250 0.409 0.591
0.750 0.591 0.409
0.062 0.111 0.765
0.438 0.235 0.889
0.938 0.889 0.235
0.562 0.765 0.111
0.311 0.991 0.428
0.189 0.572 0.009
0.689 0.009 0.572
0.811 0.428 0.991
0.114 0.705 0.477
0.386 0.523 0.295
0.886 0.295 0.523
0.614 0.477 0.705
0.445 0.797 0.704
0.055 0.296 0.203
0.555 0.203 0.296
0.945 0.704 0.797
0.250 0.964 0.036
0.750 0.036 0.964